(1)
# Pm2SnPd7 (PBE, optimized geometry)
# E_form = -17 meV/atom
# electronic total energy = -5.00 eV/atom
data_Pm2SnPd7
_cell_length_a 9.8214
_cell_length_b 9.8214
_cell_length_c 9.8214
_cell_angle_alpha 90.00
_cell_angle_beta 90.00
_cell_angle_gamma 90.00
_symmetry_space_group_name_H-M 'F m -3 m'
_symmetry_Int_Tables_number 225
_symmetry_space_group_name_Hall '-F 4 2 3'
loop_
_atom_site_label
_atom_site_type_symbol
_atom_site_fract_x
_atom_site_fract_y
_atom_site_fract_z
Pm1 Pm 0.2500 0.2500 0.2500
Sn1 Sn 0.0000 0.0000 0.0000
Pd1 Pd 0.0000 0.0000 0.2490
Pd2 Pd 0.0000 0.0000 0.5000

=====

(2)
# Ag2MoW (PBE, optimized geometry)
# E_form = 423 meV/atom
# E above lowest polymorph = 0.1188 eV per atom
# electronic total energy = -6.95 eV/atom
data_Ag2MoW
_cell_length_a 2.8048
_cell_length_b 2.8048
_cell_length_c 29.7077
_cell_angle_alpha 90.00
_cell_angle_beta 90.00
_cell_angle_gamma 120.00
_symmetry_space_group_name_H-M 'R 3 m'
_symmetry_Int_Tables_number 160
_symmetry_space_group_name_Hall 'R 3 -2"'
loop_
_atom_site_label
_atom_site_type_symbol
_atom_site_fract_x
_atom_site_fract_y
_atom_site_fract_z
Ag1 Ag 0.0000 0.0000 0.0000
Ag2 Ag 0.0000 0.0000 0.2490
Mo1 Mo 0.0000 0.0000 0.4982
W1 W 0.0000 0.0000 0.7506

=====

(3)
# Pr2Zn2Pt3 (PBE, optimized geometry)
# E_form = -885 meV/atom
# electronic total energy = -5.20 eV/atom
data_Pr2Zn2Pt3
_cell_length_a 4.1489
_cell_length_b 19.0431
_cell_length_c 7.4520
_cell_angle_alpha 90.00
_cell_angle_beta 90.00
_cell_angle_gamma 90.00
_symmetry_space_group_name_H-M 'C m c m'
_symmetry_Int_Tables_number 63
_symmetry_space_group_name_Hall '-C 2c 2'
loop_
_atom_site_label
_atom_site_type_symbol
_atom_site_fract_x
_atom_site_fract_y
_atom_site_fract_z
Pr1 Pr 0.0000 0.0605 0.2500
Pr2 Pr 0.0000 0.1553 0.7500
Zn1 Zn 0.0000 0.3070 0.5545
Pt1 Pt 0.0000 0.2240 0.2500
Pt2 Pt 0.0000 0.4351 0.0620

=====

(4)
# Ce3Pr2Te6 (PBE, optimized geometry)
# electronic total energy = -5.62 eV/atom
# E_form (uncorrected) = -1.42 eV per atom
data_Ce3Pr2Te6
_cell_length_a 7.7724
_cell_length_b 13.4581
_cell_length_c 7.7918
_cell_angle_alpha 90.00
_cell_angle_beta 109.48
_cell_angle_gamma 90.00
_symmetry_space_group_name_H-M 'C 1 2/m 1'
_symmetry_Int_Tables_number 12
_symmetry_space_group_name_Hall '-C 2y'
loop_
_atom_site_label
_atom_site_type_symbol
_atom_site_fract_x
_atom_site_fract_y
_atom_site_fract_z
Ce1 Ce 0.0000 0.0000 0.0000
Ce2 Ce 0.0000 0.3313 0.0000
Pr1 Pr 0.0000 0.1656 0.5000
Te1 Te 0.2419 0.5000 0.2519
Te2 Te 0.2436 0.3379 0.7457

=====

(5)
# La3Tb2Y8 (PBE, optimized geometry)
# E_form = 148 meV/atom
# E above lowest polymorph = 0.0000 eV per atom
# electronic total energy = -5.68 eV/atom
data_La3Tb2Y8
_cell_length_a 6.5556
_cell_length_b 17.1347
_cell_length_c 8.2163
_cell_angle_alpha 90.00
_cell_angle_beta 106.75
_cell_angle_gamma 90.00
_symmetry_space_group_name_H-M 'P 1 21/c 1'
_symmetry_Int_Tables_number 14
_symmetry_space_group_name_Hall '-P 2ybc'
loop_
_atom_site_label
_atom_site_type_symbol
_atom_site_fract_x
_atom_site_fract_y
_atom_site_fract_z
La1 La 0.0000 0.0000 0.0000
La2 La 0.4033 0.2421 0.1230
Tb1 Tb 0.1884 0.1193 0.7720
Y1 Y 0.1225 0.1119 0.3534
Y2 Y 0.1544 0.7280 0.5257
Y3 Y 0.3498 0.5823 0.8931
Y4 Y 0.4214 0.5628 0.3270

=====

(6)
# La2AlCu3Ni12 (PBE, optimized geometry)
# E_form = 394 meV/atom
# electronic total energy = -4.90 eV/atom
data_La2AlCu3Ni12
_cell_length_a 7.4134
_cell_length_b 7.4134
_cell_length_c 18.0579
_cell_angle_alpha 90.00
_cell_angle_beta 90.00
_cell_angle_gamma 120.00
_symmetry_space_group_name_H-M 'R -3 m'
_symmetry_Int_Tables_number 166
_symmetry_space_group_name_Hall '-R 3 2"'
loop_
_atom_site_label
_atom_site_type_symbol
_atom_site_fract_x
_atom_site_fract_y
_atom_site_fract_z
La1 La 0.0000 0.0000 0.1215
Al1 Al 0.0000 0.0000 0.5000
Cu1 Cu 0.0000 0.5000 0.0000
Ni1 Ni 0.0077 0.5039 0.6236
Ni2 Ni 0.0103 0.5052 0.8721

=====

(7)
# Er5CdPd4 (PBE, optimized geometry)
# E_form = -796 meV/atom
# electronic total energy = -5.25 eV/atom
data_Er5CdPd4
_cell_length_a 3.4952
_cell_length_b 3.4952
_cell_length_c 17.9913
_cell_angle_alpha 90.00
_cell_angle_beta 90.00
_cell_angle_gamma 90.00
_symmetry_space_group_name_H-M 'P 4/m m m'
_symmetry_Int_Tables_number 123
_symmetry_space_group_name_Hall '-P 4 2'
loop_
_atom_site_label
_atom_site_type_symbol
_atom_site_fract_x
_atom_site_fract_y
_atom_site_fract_z
Er1 Er 0.0000 0.0000 0.0000
Er2 Er 0.0000 0.0000 0.1917
Er3 Er 0.0000 0.0000 0.3820
Cd1 Cd 0.5000 0.5000 0.5000
Pd1 Pd 0.5000 0.5000 0.0962
Pd2 Pd 0.5000 0.5000 0.2906

=====

(8)
# Ba2GaSn (PBE, optimized geometry)
# E_form = 97 meV/atom
# E above lowest polymorph = 0.6398 eV per atom
# electronic total energy = -2.62 eV/atom
data_Ba2GaSn
_cell_length_a 4.0721
_cell_length_b 4.0721
_cell_length_c 35.6302
_cell_angle_alpha 90.00
_cell_angle_beta 90.00
_cell_angle_gamma 120.00
_symmetry_space_group_name_H-M 'R -3 m'
_symmetry_Int_Tables_number 166
_symmetry_space_group_name_Hall '-R 3 2"'
loop_
_atom_site_label
_atom_site_type_symbol
_atom_site_fract_x
_atom_site_fract_y
_atom_site_fract_z
Ba1 Ba 0.0000 0.0000 0.0986
Ga1 Ga 0.0000 0.0000 0.5000
Sn1 Sn 0.0000 0.0000 0.0000

=====

What did the fourth record say?
# Ce3Pr2Te6 (PBE, optimized geometry)
# electronic total energy = -5.62 eV/atom
# E_form (uncorrected) = -1.42 eV per atom
data_Ce3Pr2Te6
_cell_length_a 7.7724
_cell_length_b 13.4581
_cell_length_c 7.7918
_cell_angle_alpha 90.00
_cell_angle_beta 109.48
_cell_angle_gamma 90.00
_symmetry_space_group_name_H-M 'C 1 2/m 1'
_symmetry_Int_Tables_number 12
_symmetry_space_group_name_Hall '-C 2y'
loop_
_atom_site_label
_atom_site_type_symbol
_atom_site_fract_x
_atom_site_fract_y
_atom_site_fract_z
Ce1 Ce 0.0000 0.0000 0.0000
Ce2 Ce 0.0000 0.3313 0.0000
Pr1 Pr 0.0000 0.1656 0.5000
Te1 Te 0.2419 0.5000 0.2519
Te2 Te 0.2436 0.3379 0.7457

=====

Q: Look up the electronic total energy of the seventh one.
A: -5.25 eV/atom